# 1
Density functional theory data (PBE) for a geometry-optimized La2PtPb structure.

Structure (POSCAR):
```
La2PtPb
1.0
-1.368 -4.618 3.986
4.127 -1.390 4.486
-2.792 5.106 -2.285
Pt Pb La
1 1 2
direct
0.750 0.250 0.500 Pt
0.500 0.500 0.000 Pb
0.250 0.750 0.500 La
0.000 0.000 0.000 La
```

Results
Symmetry   I-4m2, No. 119



# 2
Density functional theory data (PBE) for a geometry-optimized SrZrOs2 structure.

Structure (POSCAR):
```
SrZrOs2
1.0
4.330 0.000 0.000
0.000 4.135 0.014
0.000 2.053 5.609
Sr Zr Os
1 1 2
direct
0.000 0.467 0.442 Sr
0.500 0.748 0.878 Zr
0.000 0.188 0.999 Os
0.500 0.097 0.181 Os
```

Results
Offset from the most stable computed form   0 meV per atom
Symmetry   Amm2, No. 38



# 3
Density functional theory data (PBE) for a geometry-optimized La2Tl2Ir structure.

Structure (POSCAR):
```
La2Tl2Ir
1.0
-2.747 7.013 0.206
-6.999 -2.755 0.437
0.308 -0.020 4.806
La Ir Tl
4 2 4
direct
0.833 0.333 0.500 La
0.167 0.667 0.500 La
0.667 0.833 0.500 La
0.333 0.167 0.500 La
0.000 0.000 0.000 Ir
0.500 0.500 0.000 Ir
0.357 0.857 0.000 Tl
0.143 0.357 0.000 Tl
0.643 0.143 0.000 Tl
0.857 0.643 0.000 Tl
```

Results
Symmetry   P4/mbm, No. 127



# 4
Density functional theory data (PBE) for a geometry-optimized Ce5PuCd5 structure.

Structure (POSCAR):
```
Ce5PuCd5
1.0
4.864 0.000 1.589
1.788 7.242 2.765
-0.048 -0.438 8.383
Cd Ce Pu
5 5 1
direct
0.763 0.745 0.728 Cd
0.237 0.255 0.272 Cd
0.436 0.425 0.702 Cd
0.564 0.575 0.298 Cd
0.000 0.500 0.500 Cd
0.500 0.000 0.000 Ce
0.867 0.953 0.312 Ce
0.849 0.329 0.973 Ce
0.151 0.671 0.027 Ce
0.133 0.047 0.688 Ce
0.000 0.000 0.000 Pu
```

Results
Symmetry   C2/m, No. 12



Ordered E_form results: -0.6614 0.2856 -0.1530 -0.1495; unit eV per atom.
Ordered VASP energy results: -5.562 -7.887 -4.843 -4.566; unit eV per atom.